i) First-principles (PBE) data for BaIrPt2 after structural relaxation, as listed in Alexandria.

Output
The calculation puts the volume at 23.662 Å³ per atom.

a = 3.7816 Å, b = 5.5052 Å, c = 9.0927 Å
α = 90.00°, β = 90.00°, γ = 90.00°
Space group Immm (No. 71)
Symmetry-distinct sites (fractional):
Ba 0.0000 0.0000 0.0000
Ir 0.0000 0.0000 0.5000
Pt 0.0000 0.5000 0.1897

ii) First-principles (PBE) data for BaIrPt2 after structural relaxation, as listed in Alexandria.

Output
The calculation puts the volume at 20.200 Å³ per atom.

a = 4.3869 Å, b = 4.3869 Å, c = 4.1985 Å
α = 90.00°, β = 90.00°, γ = 90.00°
Space group P4/mmm (No. 123)
Symmetry-distinct sites (fractional):
Ba 0.0000 0.0000 0.0000
Ir 0.5000 0.5000 0.0000
Pt 0.0000 0.5000 0.5000

iii) First-principles (PBE) data for BaIrPt2 after structural relaxation, as listed in Alexandria.

Output
The calculation puts the volume at 19.573 Å³ per atom.

a = 3.0168 Å, b = 3.0168 Å, c = 29.7998 Å
α = 90.00°, β = 90.00°, γ = 120.00°
Space group R-3m (No. 166, hexagonal axes)
Symmetry-distinct sites (fractional):
Ba 0.0000 0.0000 0.0000
Ir 0.0000 0.0000 0.5000
Pt 0.0000 0.0000 0.2372

iv) First-principles (PBE) data for BaIrPt2 after structural relaxation, as listed in Alexandria.

Output
The calculation puts the volume at 20.428 Å³ per atom.

a = 2.9742 Å, b = 5.2249 Å, c = 10.5163 Å
α = 90.00°, β = 90.00°, γ = 90.00°
Space group Imm2 (No. 44)
Symmetry-distinct sites (fractional):
Ba 0.0000 0.0000 0.0000
Ir 0.0000 0.5000 0.7773
Pt 0.0000 0.0000 0.4928
Pt 0.0000 0.5000 0.2203

What is the stability order? It is i), iv), ii), iii), from most stable to least stable.

i) First-principles (PBE) data for BaIrPt2 after structural relaxation, as listed in Alexandria.

Output
The calculation puts the volume at 21.083 Å³ per atom.

a = 3.3582 Å, b = 3.3582 Å, c = 7.4777 Å
α = 90.00°, β = 90.00°, γ = 90.00°
Space group P4/mmm (No. 123)
Symmetry-distinct sites (fractional):
Ba 0.0000 0.0000 0.0000
Ir 0.0000 0.0000 0.5000
Pt 0.5000 0.5000 0.3209

ii) First-principles (PBE) data for BaIrPt2 after structural relaxation, as listed in Alexandria.

Output
The calculation puts the volume at 20.187 Å³ per atom.

a = 4.3418 Å, b = 4.3418 Å, c = 8.5672 Å
α = 90.00°, β = 90.00°, γ = 90.00°
Space group I-4m2 (No. 119)
Symmetry-distinct sites (fractional):
Ba 0.0000 0.0000 0.0000
Ir 0.0000 0.5000 0.7500
Pt 0.0000 0.0000 0.5000
Pt 0.0000 0.5000 0.2500

iii) First-principles (PBE) data for BaIrPt2 after structural relaxation, as listed in Alexandria.

Output
The calculation puts the volume at 20.611 Å³ per atom.

a = 6.9088 Å, b = 6.9088 Å, c = 6.9088 Å
α = 90.00°, β = 90.00°, γ = 90.00°
Space group Fm-3m (No. 225)
Symmetry-distinct sites (fractional):
Ba 0.0000 0.0000 0.0000
Ir 0.0000 0.0000 0.5000
Pt 0.2500 0.2500 0.2500

iv) First-principles (PBE) data for BaIrPt2 after structural relaxation, as listed in Alexandria.

Output
The calculation puts the volume at 21.253 Å³ per atom.

a = 3.3662 Å, b = 3.3662 Å, c = 7.5025 Å
α = 90.00°, β = 90.00°, γ = 90.00°
Space group P4mm (No. 99)
Symmetry-distinct sites (fractional):
Ba 0.0000 0.0000 0.0000
Ir 0.5000 0.5000 0.3322
Pt 0.0000 0.0000 0.4843
Pt 0.5000 0.5000 0.6934

What is the stability order? It is i), iv), ii), iii), from most stable to least stable.

i) First-principles (PBE) data for BaIrPt3 after structural relaxation, as listed in Alexandria.

Output
The calculation puts the volume at 28.379 Å³ per atom.

a = 5.2158 Å, b = 5.2158 Å, c = 5.2158 Å
α = 90.00°, β = 90.00°, γ = 90.00°
Space group Pm-3m (No. 221)
Symmetry-distinct sites (fractional):
Ba 0.0000 0.0000 0.0000
Ir 0.5000 0.5000 0.5000
Pt 0.0000 0.0000 0.5000

ii) First-principles (PBE) data for BaIrPt3 after structural relaxation, as listed in Alexandria.

Output
The calculation puts the volume at 24.751 Å³ per atom.

a = 4.9833 Å, b = 4.9833 Å, c = 4.9833 Å
α = 90.00°, β = 90.00°, γ = 90.00°
Space group Pm-3m (No. 221)
Symmetry-distinct sites (fractional):
Ba 0.0000 0.0000 0.0000
Ir 0.5000 0.5000 0.5000
Pt 0.0000 0.5000 0.5000

What is the stability order? It is ii), i), from most stable to least stable.

i) First-principles (PBE) data for BaIrPt after structural relaxation, as listed in Alexandria.

Output
The calculation puts the volume at 25.811 Å³ per atom.

a = 6.7660 Å, b = 6.7660 Å, c = 6.7660 Å
α = 90.00°, β = 90.00°, γ = 90.00°
Space group F-43m (No. 216)
Symmetry-distinct sites (fractional):
Ba 0.0000 0.0000 0.0000
Ir 0.2500 0.2500 0.7500
Pt 0.0000 0.0000 0.5000

ii) First-principles (PBE) data for BaIrPt after structural relaxation, as listed in Alexandria.

Output
The calculation puts the volume at 21.448 Å³ per atom.

a = 3.0972 Å, b = 3.0972 Å, c = 7.7453 Å
α = 90.00°, β = 90.00°, γ = 120.00°
Space group P3m1 (No. 156)
Symmetry-distinct sites (fractional):
Ba 0.0000 0.0000 0.0000
Ir 0.3333 0.6667 0.3640
Pt 0.6667 0.3333 0.6277

iii) First-principles (PBE) data for BaIrPt after structural relaxation, as listed in Alexandria.

Output
The calculation puts the volume at 24.547 Å³ per atom.

a = 3.6544 Å, b = 3.6544 Å, c = 11.0283 Å
α = 90.00°, β = 90.00°, γ = 90.00°
Space group I4mm (No. 107)
Symmetry-distinct sites (fractional):
Ba 0.0000 0.0000 0.0000
Ir 0.0000 0.0000 0.2729
Pt 0.0000 0.0000 0.7233

iv) First-principles (PBE) data for BaIrPt after structural relaxation, as listed in Alexandria.

Output
The calculation puts the volume at 27.048 Å³ per atom.

a = 6.8724 Å, b = 6.8724 Å, c = 6.8724 Å
α = 90.00°, β = 90.00°, γ = 90.00°
Space group P2_13 (No. 198)
Symmetry-distinct sites (fractional):
Ba 0.1184 0.1184 0.1184
Ir 0.1578 0.3422 0.6578
Pt 0.0955 0.5955 0.9045

What is the stability order? It is iv), iii), i), ii), from most stable to least stable.